CdSnH2: optimized geometry, PBE-GGA.

Computed properties:
Magnetic moment: 0.000 μB/f.u.
Energy relative to the lowest polymorph listed for this composition: 0.174 eV/atom

Cell: 3.2002 5.2249 7.7429 Å, 90.00 90.00 90.00°
Space group Immm (No. 71)
Unique sites:
Cd  0.0000  0.0000  0.0000 (multiplicity 2)
Sn  0.0000  0.0000  0.5000 (multiplicity 2)
H  0.0000  0.0000  0.2433 (multiplicity 4)